[1]
! Al2FeHPt (GGA-PBE, relaxed); values from VASP
&SYSTEM
  ibrav = 0, nat = 5, ntyp = 4
/
ATOMIC_SPECIES
H 1.01 H.upf
Fe 55.84 Fe.upf
Pt 195.08 Pt.upf
Al 26.98 Al.upf
CELL_PARAMETERS angstrom
-3.151 -2.546 -0.505
2.565 -3.175 0.003
-0.319 -0.254 3.274
ATOMIC_POSITIONS crystal
H 0.000 0.000 0.000
Fe 0.000 0.000 0.500
Pt 0.500 0.500 0.500
Al 0.000 0.500 0.000
Al 0.500 0.000 0.000
! Magnetization, μB per formula unit: 0.00
! Final energy, eV/atom: -5.562

[2]
! MgCd3Rh (GGA-PBE, relaxed); values from VASP
&SYSTEM
  ibrav = 0, nat = 5, ntyp = 3
/
ATOMIC_SPECIES
Mg 24.30 Mg.upf
Rh 102.91 Rh.upf
Cd 112.41 Cd.upf
CELL_PARAMETERS angstrom
-1.074 -1.978 4.643
4.664 -2.203 0.140
1.929 4.225 2.247
ATOMIC_POSITIONS crystal
Mg 0.500 0.500 0.500
Rh 0.000 0.000 0.000
Cd 0.000 0.500 0.000
Cd 0.000 0.000 0.500
Cd 0.500 0.000 0.000
! Magnetization, μB per formula unit: 0.00
! ΔE_f, kJ/mol of formula units: 106
! Energy relative to the lowest polymorph listed for this composition, meV per atom: 396

[3]
! KRhAu (GGA-PBE, relaxed); values from VASP
&SYSTEM
  ibrav = 0, nat = 3, ntyp = 3
/
ATOMIC_SPECIES
Au 196.97 Au.upf
K 39.10 K.upf
Rh 102.91 Rh.upf
CELL_PARAMETERS angstrom
4.801 0.000 0.000
2.401 4.158 0.000
2.401 1.386 3.920
ATOMIC_POSITIONS crystal
Au 0.500 0.500 0.500
K 0.750 0.750 0.750
Rh 0.000 0.000 0.000
! Magnetization, μB per formula unit: 0.54
! ΔE_f, kJ/mol of formula units: 352
! Energy relative to the lowest polymorph listed for this composition, meV per atom: 1013

[4]
! CaMn2W (GGA-PBE, relaxed); values from VASP
&SYSTEM
  ibrav = 0, nat = 4, ntyp = 3
/
ATOMIC_SPECIES
Ca 40.08 Ca.upf
Mn 54.94 Mn.upf
W 183.84 W.upf
CELL_PARAMETERS angstrom
2.796 0.000 0.000
0.000 2.796 0.007
0.000 2.776 8.132
ATOMIC_POSITIONS crystal
Ca 0.500 0.723 0.778
Mn 0.000 0.932 0.068
Mn 0.500 0.290 0.210
W 0.000 0.556 0.444
! Magnetization, μB per formula unit: 0.01
! ΔE_f, kJ/mol of formula units: 223
! Energy relative to the lowest polymorph listed for this composition, meV per atom: 188

[5]
! AcLaTmCd (GGA-PBE, relaxed); values from VASP
&SYSTEM
  ibrav = 0, nat = 4, ntyp = 4
/
ATOMIC_SPECIES
Cd 112.41 Cd.upf
Ac 227.00 Ac.upf
Tm 168.93 Tm.upf
La 138.91 La.upf
CELL_PARAMETERS angstrom
5.703 0.000 0.000
2.852 4.939 0.000
2.852 1.646 4.657
ATOMIC_POSITIONS crystal
Cd 0.750 0.750 0.750
Ac 0.250 0.250 0.250
Tm 0.000 0.000 0.000
La 0.500 0.500 0.500
! Magnetization, μB per formula unit: 0.00
! ΔE_f, kJ/mol of formula units: 24
! Energy relative to the lowest polymorph listed for this composition, meV per atom: 191

[6]
! NdSmFeC (GGA-PBE, relaxed); values from VASP
&SYSTEM
  ibrav = 0, nat = 8, ntyp = 4
/
ATOMIC_SPECIES
Nd 144.24 Nd.upf
Sm 150.36 Sm.upf
Fe 55.84 Fe.upf
C 12.01 C.upf
CELL_PARAMETERS angstrom
3.788 0.000 0.000
0.000 3.788 0.000
0.000 0.000 11.192
ATOMIC_POSITIONS crystal
Nd 0.250 0.750 0.500
Nd 0.750 0.250 0.500
Sm 0.750 0.750 0.195
Sm 0.250 0.250 0.805
Fe 0.750 0.250 0.000
Fe 0.250 0.750 0.000
C 0.750 0.750 0.929
C 0.250 0.250 0.071
! Magnetization, μB per formula unit: 0.00
! ΔE_f, kJ/mol of formula units: 188

[7]
! Al2CdGa7 (GGA-PBE, relaxed); values from VASP
&SYSTEM
  ibrav = 0, nat = 10, ntyp = 3
/
ATOMIC_SPECIES
Al 26.98 Al.upf
Cd 112.41 Cd.upf
Ga 69.72 Ga.upf
CELL_PARAMETERS angstrom
-1.803 -3.183 -0.157
5.072 -2.572 -6.095
1.779 -1.403 8.022
ATOMIC_POSITIONS crystal
Al 0.500 0.692 0.308
Al 0.500 0.308 0.692
Cd 0.000 0.000 0.000
Ga 0.000 0.816 0.184
Ga 0.000 0.184 0.816
Ga 0.500 0.110 0.323
Ga 0.500 0.890 0.677
Ga 0.500 0.323 0.110
Ga 0.500 0.677 0.890
Ga 0.500 0.500 0.500
! Magnetization, μB per formula unit: 0.00
! ΔE_f, kJ/mol of formula units: 169

[8]
! AgSBrCl2 (GGA-PBE, relaxed); values from VASP
&SYSTEM
  ibrav = 0, nat = 5, ntyp = 4
/
ATOMIC_SPECIES
S 32.06 S.upf
Br 79.90 Br.upf
Ag 107.87 Ag.upf
Cl 35.45 Cl.upf
CELL_PARAMETERS angstrom
-1.078 1.399 -4.924
2.114 -4.461 -1.730
-4.360 -2.194 0.331
ATOMIC_POSITIONS crystal
S 0.000 0.000 0.500
Br 0.000 0.000 0.000
Ag 0.500 0.500 0.500
Cl 0.000 0.500 0.000
Cl 0.500 0.000 0.000
! Magnetization, μB per formula unit: 0.15
! Formation energy without anion corrections, eV/f.u.: 2.7
! Energy relative to the lowest polymorph listed for this composition, meV per atom: 380

[9]
! CdRe2As (GGA-PBE, relaxed); values from VASP
&SYSTEM
  ibrav = 0, nat = 4, ntyp = 3
/
ATOMIC_SPECIES
Re 186.21 Re.upf
As 74.92 As.upf
Cd 112.41 Cd.upf
CELL_PARAMETERS angstrom
-2.593 1.338 0.951
0.130 -1.604 2.613
3.713 5.101 2.947
ATOMIC_POSITIONS crystal
Re 0.000 0.000 0.052
Re 0.000 0.000 0.448
As 0.500 0.500 0.250
Cd 0.500 0.500 0.750
! Magnetization, μB per formula unit: 0.00
! ΔE_f, kJ/mol of formula units: 225
! Energy relative to the lowest polymorph listed for this composition, meV per atom: 385

[10]
! HfGaCo2H (GGA-PBE, relaxed); values from VASP
&SYSTEM
  ibrav = 0, nat = 5, ntyp = 4
/
ATOMIC_SPECIES
Co 58.93 Co.upf
Hf 178.49 Hf.upf
Ga 69.72 Ga.upf
H 1.01 H.upf
CELL_PARAMETERS angstrom
3.879 0.000 0.000
0.000 3.879 0.000
0.000 0.000 3.858
ATOMIC_POSITIONS crystal
Co 0.000 0.500 0.000
Co 0.500 0.000 0.000
Hf 0.000 0.000 0.500
Ga 0.500 0.500 0.500
H 0.000 0.000 0.000
! Magnetization, μB per formula unit: 0.00
! Energy relative to the lowest polymorph listed for this composition, meV per atom: 89

[11]
! SO2F2 (GGA-PBE, relaxed); values from VASP
&SYSTEM
  ibrav = 0, nat = 5, ntyp = 3
/
ATOMIC_SPECIES
S 32.06 S.upf
O 16.00 O.upf
F 19.00 F.upf
CELL_PARAMETERS angstrom
4.133 0.000 0.000
0.000 4.133 0.000
0.000 0.000 3.414
ATOMIC_POSITIONS crystal
S 0.000 0.000 0.000
O 0.500 0.500 0.500
O 0.000 0.000 0.500
F 0.000 0.500 0.000
F 0.500 0.000 0.000
! Magnetization, μB per formula unit: 2.11
! Formation energy without anion corrections, eV/f.u.: 0.4

[12]
! Y4GeTe2 (GGA-PBE, relaxed); values from VASP
&SYSTEM
  ibrav = 0, nat = 7, ntyp = 3
/
ATOMIC_SPECIES
Y 88.91 Y.upf
Ge 72.64 Ge.upf
Te 127.60 Te.upf
CELL_PARAMETERS angstrom
5.447 0.000 0.000
0.000 5.447 0.000
2.723 2.723 7.606
ATOMIC_POSITIONS crystal
Y 0.183 0.183 0.633
Y 0.817 0.817 0.367
Y 0.000 0.500 0.000
Y 0.500 0.000 0.000
Ge 0.000 0.000 0.000
Te 0.379 0.379 0.242
Te 0.621 0.621 0.758
! Magnetization, μB per formula unit: 0.00
! Formation energy without anion corrections, eV/f.u.: -4.5